VASP calculation (PBE) on a geometry-optimized As3Pt2 structure.

energy relative to the elements = -0.299 eV per atom
total moment = 0.0 μB/cell

Cell lengths 6.599, 6.599, 6.451 Å; angles 59.24, 59.24, 60.00 degrees
Fractional positions:
As1 0.750 0.444 0.750
As2 0.056 0.750 0.750
As3 0.250 0.556 0.250
As4 0.444 0.056 0.750
As5 0.944 0.250 0.250
As6 0.556 0.944 0.250
Pt1 0.354 0.354 0.937
Pt2 0.854 0.854 0.437
Pt3 0.646 0.646 0.063
Pt4 0.146 0.146 0.563